1.
A plane-wave DFT calculation with PBE-GGA was carried out for an optimized crystal structure of NaLa2MnAl.

Computed properties:
- Theoretical density: 4.67 Mg/m³
- Density of states at the Fermi level: 4.49 states/eV/f.u.

Cell lengths 5.245, 5.245, 4.947 Å; angles 90.00, 90.00, 90.00 degrees
Atoms (fractional coordinates):
Na 0.500 0.500 0.500
Mn 0.000 0.000 0.000
La 0.000 0.500 0.000
La 0.500 0.000 0.000
Al 0.000 0.000 0.500


2.
A plane-wave DFT calculation with PBE-GGA was carried out for an optimized crystal structure of LiCdTc2.

Computed properties:
- Theoretical density: 7.91 Mg/m³
- Density of states at the Fermi level: 2.62 states/eV/f.u.

Cell lengths 3.640, 3.640, 10.318 Å; angles 79.84, 79.84, 90.00 degrees
Atoms (fractional coordinates):
Tc 0.875 0.841 0.750
Tc 0.375 0.409 0.750
Tc 0.591 0.125 0.250
Tc 0.159 0.625 0.250
Cd 0.750 0.250 0.500
Cd 0.000 0.000 0.000
Li 0.500 0.500 0.000
Li 0.250 0.750 0.500


3.
A plane-wave DFT calculation with PBE-GGA was carried out for an optimized crystal structure of BiP2AuCl.

Computed properties:
- Energy above the lowest structure with this stoichiometry: 447 meV/atom
- ΔE_f (raw): 1044 meV/atom
- Theoretical density: 5.51 Mg/m³
- Density of states at the Fermi level: 2.98 states/eV/f.u.

Cell lengths 5.377, 5.377, 5.249 Å; angles 90.00, 90.00, 90.00 degrees
Atoms (fractional coordinates):
P 0.500 0.000 0.000
P 0.000 0.500 0.000
Cl 0.000 0.000 0.500
Au 0.500 0.500 0.500
Bi 0.000 0.000 0.000


| no. | calculated total energy (eV/f.u.) |
| --- | --- |
| 1 | -23.78 |
| 2 | -21.53 |
| 3 | -14.61 |